No. 1
Computed, not measured: TiGa3Bi after structural relaxation at the PBE level of DFT.

* ΔH_f (0 K): 0.386 eV per atom
* energy: -3.79 eV/atom

Structure (CIF):
```
data_TiGa3Bi
_chemical_formula_sum 'Ti1 Ga3 Bi1'
_symmetry_space_group_name_H-M 'P m -3 m'
_symmetry_Int_Tables_number 221
_symmetry_space_group_name_Hall '-P 4 2 3'
_cell_length_a 5.0140
_cell_length_b 5.0140
_cell_length_c 5.0140
_cell_angle_alpha 90.00
_cell_angle_beta 90.00
_cell_angle_gamma 90.00
loop_
_atom_site_label
_atom_site_fract_x
_atom_site_fract_y
_atom_site_fract_z
Ti1 0.0000 0.0000 0.0000
Ga1 0.0000 0.0000 0.5000
Bi1 0.5000 0.5000 0.5000
```

=====

No. 2
Computed, not measured: Ti2GaBi after structural relaxation at the PBE level of DFT.

* ΔH_f (0 K): 0.031 eV per atom
* energy: -5.64 eV/atom

Structure (CIF):
```
data_Ti2GaBi
_chemical_formula_sum 'Ti8 Ga4 Bi4'
_symmetry_space_group_name_H-M 'F m -3 m'
_symmetry_Int_Tables_number 225
_symmetry_space_group_name_Hall '-F 4 2 3'
_cell_length_a 6.7486
_cell_length_b 6.7486
_cell_length_c 6.7486
_cell_angle_alpha 90.00
_cell_angle_beta 90.00
_cell_angle_gamma 90.00
loop_
_atom_site_label
_atom_site_fract_x
_atom_site_fract_y
_atom_site_fract_z
Ti1 0.2500 0.2500 0.2500
Ga1 0.0000 0.0000 0.0000
Bi1 0.0000 0.0000 0.5000
```

=====

No. 3
Computed, not measured: Ti5GaBi2 after structural relaxation at the PBE level of DFT.

* ΔH_f (0 K): 0.201 eV per atom
* energy: -6.08 eV/atom

Structure (CIF):
```
data_Ti5GaBi2
_chemical_formula_sum 'Ti20 Ga4 Bi8'
_symmetry_space_group_name_H-M 'C m c m'
_symmetry_Int_Tables_number 63
_symmetry_space_group_name_Hall '-C 2c 2'
_cell_length_a 4.5934
_cell_length_b 13.5211
_cell_length_c 11.7552
_cell_angle_alpha 90.00
_cell_angle_beta 90.00
_cell_angle_gamma 90.00
loop_
_atom_site_label
_atom_site_fract_x
_atom_site_fract_y
_atom_site_fract_z
Ti1 0.0000 0.1235 0.1357
Ti2 0.0000 0.2920 0.7500
Ti3 0.0000 0.3019 0.0138
Ga1 0.0000 0.3029 0.2500
Bi1 0.0000 0.0919 0.6099
```

=====

No. 4
Computed, not measured: Ti6GaBi after structural relaxation at the PBE level of DFT.

* ΔH_f (0 K): 0.167 eV per atom
* energy: -6.62 eV/atom

Structure (CIF):
```
data_Ti6GaBi
_chemical_formula_sum 'Ti12 Ga2 Bi2'
_symmetry_space_group_name_H-M 'C 1 2/m 1'
_symmetry_Int_Tables_number 12
_symmetry_space_group_name_Hall '-C 2y'
_cell_length_a 8.0705
_cell_length_b 5.4195
_cell_length_c 7.4648
_cell_angle_alpha 90.00
_cell_angle_beta 104.54
_cell_angle_gamma 90.00
loop_
_atom_site_label
_atom_site_fract_x
_atom_site_fract_y
_atom_site_fract_z
Ti1 0.1277 0.0000 0.4341
Ti2 0.2000 0.2467 0.7832
Ga1 0.0000 0.5000 0.5000
Bi1 0.0000 0.0000 0.0000
```

=====

No. 5
Computed, not measured: TiGa2Bi after structural relaxation at the PBE level of DFT.

* ΔH_f (0 K): 0.176 eV per atom
* energy: -4.28 eV/atom

Structure (CIF):
```
data_TiGa2Bi
_chemical_formula_sum 'Ti4 Ga8 Bi4'
_symmetry_space_group_name_H-M 'I -4 2 d'
_symmetry_Int_Tables_number 122
_symmetry_space_group_name_Hall 'I -4 2bw'
_cell_length_a 7.8339
_cell_length_b 7.8339
_cell_length_c 5.7127
_cell_angle_alpha 90.00
_cell_angle_beta 90.00
_cell_angle_gamma 90.00
loop_
_atom_site_label
_atom_site_fract_x
_atom_site_fract_y
_atom_site_fract_z
Ti1 0.0000 0.0000 0.0000
Ga1 0.2260 0.2500 0.1250
Bi1 0.0000 0.0000 0.5000
```

=====

No. 6
Computed, not measured: TiGa2Bi after structural relaxation at the PBE level of DFT.

* ΔH_f (0 K): 0.283 eV per atom
* energy: -4.17 eV/atom

Structure (CIF):
```
data_TiGa2Bi
_chemical_formula_sum 'Ti4 Ga8 Bi4'
_symmetry_space_group_name_H-M 'F m -3 m'
_symmetry_Int_Tables_number 225
_symmetry_space_group_name_Hall '-F 4 2 3'
_cell_length_a 7.0109
_cell_length_b 7.0109
_cell_length_c 7.0109
_cell_angle_alpha 90.00
_cell_angle_beta 90.00
_cell_angle_gamma 90.00
loop_
_atom_site_label
_atom_site_fract_x
_atom_site_fract_y
_atom_site_fract_z
Ti1 0.0000 0.0000 0.0000
Ga1 0.2500 0.2500 0.2500
Bi1 0.0000 0.0000 0.5000
```

=====

No. 7
Computed, not measured: Ti2Ga2Bi after structural relaxation at the PBE level of DFT.

* ΔH_f (0 K): 0.083 eV per atom
* energy: -5.06 eV/atom

Structure (CIF):
```
data_Ti2Ga2Bi
_chemical_formula_sum 'Ti4 Ga4 Bi2'
_symmetry_space_group_name_H-M 'I 4/m m m'
_symmetry_Int_Tables_number 139
_symmetry_space_group_name_Hall '-I 4 2'
_cell_length_a 4.2808
_cell_length_b 4.2808
_cell_length_c 11.2566
_cell_angle_alpha 90.00
_cell_angle_beta 90.00
_cell_angle_gamma 90.00
loop_
_atom_site_label
_atom_site_fract_x
_atom_site_fract_y
_atom_site_fract_z
Ti1 0.0000 0.5000 0.2500
Ga1 0.0000 0.0000 0.1105
Bi1 0.0000 0.0000 0.5000
```

=====

No. 8
Computed, not measured: Ti10GaBi6 after structural relaxation at the PBE level of DFT.

* ΔH_f (0 K): -0.172 eV per atom
* energy: -6.36 eV/atom

Structure (CIF):
```
data_Ti10GaBi6
_chemical_formula_sum 'Ti10 Ga1 Bi6'
_symmetry_space_group_name_H-M 'P -3 1 m'
_symmetry_Int_Tables_number 162
_symmetry_space_group_name_Hall '-P 3 2'
_cell_length_a 8.3317
_cell_length_b 8.3317
_cell_length_c 5.6491
_cell_angle_alpha 90.00
_cell_angle_beta 90.00
_cell_angle_gamma 120.00
loop_
_atom_site_label
_atom_site_fract_x
_atom_site_fract_y
_atom_site_fract_z
Ti1 0.0000 0.2571 0.2658
Ti2 0.3333 0.6667 0.0000
Ti3 0.3333 0.6667 0.5000
Ga1 0.0000 0.0000 0.0000
Bi1 0.0000 0.3854 0.7528
```

=====

No. 9
Computed, not measured: Ti8GaBi2 after structural relaxation at the PBE level of DFT.

* ΔH_f (0 K): -0.140 eV per atom
* energy: -6.86 eV/atom

Structure (CIF):
```
data_Ti8GaBi2
_chemical_formula_sum 'Ti16 Ga2 Bi4'
_symmetry_space_group_name_H-M 'C 1 2/m 1'
_symmetry_Int_Tables_number 12
_symmetry_space_group_name_Hall '-C 2y'
_cell_length_a 15.8924
_cell_length_b 4.7695
_cell_length_c 5.2885
_cell_angle_alpha 90.00
_cell_angle_beta 93.76
_cell_angle_gamma 90.00
loop_
_atom_site_label
_atom_site_fract_x
_atom_site_fract_y
_atom_site_fract_z
Ti1 0.0441 0.0000 0.2634
Ti2 0.0851 0.5000 0.5401
Ti3 0.1673 0.5000 0.1112
Ti4 0.2334 0.0000 0.3400
Ga1 0.0000 0.5000 0.0000
Bi1 0.1487 0.0000 0.7985
```

=====

No. 10
Computed, not measured: Ti2GaBi after structural relaxation at the PBE level of DFT.

* ΔH_f (0 K): 0.258 eV per atom
* energy: -5.42 eV/atom

Structure (CIF):
```
data_Ti2GaBi
_chemical_formula_sum 'Ti8 Ga4 Bi4'
_symmetry_space_group_name_H-M 'I -4 2 d'
_symmetry_Int_Tables_number 122
_symmetry_space_group_name_Hall 'I -4 2bw'
_cell_length_a 4.1217
_cell_length_b 4.1217
_cell_length_c 19.9377
_cell_angle_alpha 90.00
_cell_angle_beta 90.00
_cell_angle_gamma 90.00
loop_
_atom_site_label
_atom_site_fract_x
_atom_site_fract_y
_atom_site_fract_z
Ti1 0.2384 0.2500 0.1250
Ga1 0.0000 0.0000 0.0000
Bi1 0.0000 0.0000 0.5000
```

=====

No. 11
Computed, not measured: Ti2Ga2Bi after structural relaxation at the PBE level of DFT.

* ΔH_f (0 K): -0.052 eV per atom
* energy: -5.20 eV/atom

Structure (CIF):
```
data_Ti2Ga2Bi
_chemical_formula_sum 'Ti4 Ga4 Bi2'
_symmetry_space_group_name_H-M 'P 4/m b m'
_symmetry_Int_Tables_number 127
_symmetry_space_group_name_Hall '-P 4 2ab'
_cell_length_a 7.7979
_cell_length_b 7.7979
_cell_length_c 3.1766
_cell_angle_alpha 90.00
_cell_angle_beta 90.00
_cell_angle_gamma 90.00
loop_
_atom_site_label
_atom_site_fract_x
_atom_site_fract_y
_atom_site_fract_z
Ti1 0.1799 0.3201 0.0000
Ga1 0.1162 0.6162 0.5000
Bi1 0.0000 0.0000 0.5000
```

=====

No. 12
Computed, not measured: Ti6GaBi after structural relaxation at the PBE level of DFT.

* ΔH_f (0 K): -0.189 eV per atom
* energy: -6.97 eV/atom

Structure (CIF):
```
data_Ti6GaBi
_chemical_formula_sum 'Ti12 Ga2 Bi2'
_symmetry_space_group_name_H-M 'A m m 2'
_symmetry_Int_Tables_number 38
_symmetry_space_group_name_Hall 'A 2 -2'
_cell_length_a 4.7316
_cell_length_b 6.2302
_cell_length_c 9.6015
_cell_angle_alpha 90.00
_cell_angle_beta 90.00
_cell_angle_gamma 90.00
loop_
_atom_site_label
_atom_site_fract_x
_atom_site_fract_y
_atom_site_fract_z
Ti1 0.0000 0.0000 0.0000
Ti2 0.0000 0.2214 0.7217
Ti3 0.5000 0.0000 0.2550
Ti4 0.5000 0.2349 0.5380
Ga1 0.5000 0.0000 0.8012
Bi1 0.0000 0.0000 0.4545
```